# PrSn2Pd10 (PBE, optimized geometry)
# - magnetic moment (μB per atom) = 0.00
# - SG = No. 69
# - crystal system = orthorhombic
# - final energy (eV per cell) = -69.72
# - DFT formation energy (meV per atom) = -385
data_PrSn2Pd10
_chemical_formula_sum 'Pr1 Sn2 Pd10'
_space_group_name_H-M_alt 'P 1'
_space_group_IT_number 1
_cell_length_a 5.6818
_cell_length_b 7.1208
_cell_length_c 6.9146
_cell_angle_alpha 80.57
_cell_angle_beta 65.74
_cell_angle_gamma 66.49
loop_
_space_group_symop_operation_xyz
'x,y,z'
loop_
_atom_site_label
_atom_site_type_symbol
_atom_site_fract_x
_atom_site_fract_y
_atom_site_fract_z
Pd1 Pd 0.6581 0.3425 0.3413
Pd2 Pd 0.4999 0.2222 0.7780
Pd3 Pd 0.0006 0.6575 0.3413
Pd4 Pd 0.7221 0.7778 0.7780
Sn1 Sn 0.0000 0.5000 0.0000
Pd5 Pd 0.5000 0.0000 0.5000
Sn2 Sn 0.5000 0.5000 0.0000
Pd6 Pd 0.0000 0.0000 0.5000
Pd7 Pd 0.2779 0.2222 0.2220
Pd8 Pd 0.5001 0.7778 0.2220
Pd9 Pd 0.9994 0.3425 0.6587
Pd10 Pd 0.3419 0.6575 0.6587
Pr1 Pr 0.0000 0.0000 0.0000